(1)
The following is a DFT calculation (PBE) of an optimized crystal structure of Cs7KH2.

Cell: 11.9232 23.8126 5.3647 Å, 90.00 90.00 90.00°
Closest atoms and distances in Å follow each position.
Space group Cmmm (No. 65)
Unique sites:
Cs: 0.0000 0.0000 0.0000 x2  2 H 3.14
Cs: 0.0000 0.2012 0.5000 x4  2 H 3.15
Cs: 0.2263 0.3686 0.0000 x8  1 H 3.26
K: 0.0000 0.5000 0.5000 x2  8 Cs 4.93, 2 K 5.36
H: 0.0000 0.1317 0.0000 x4  5 Cs 3.14-3.26

Results
Its density is 2.1 g/cm³. The calculation puts the final energy at -1.380 eV/atom.

***

(2)
The following is a DFT calculation (PBE) of an optimized crystal structure of Cs3KH4.

Cell: 8.8067 12.4290 4.3742 Å, 90.00 90.00 90.00°
Closest atoms and distances in Å follow each position.
Space group Cmmm (No. 65)
Unique sites:
Cs: 0.0000 0.0000 0.0000 x2  6 H 3.20-3.22
Cs: 0.2500 0.2500 0.5000 x4  6 H 3.11
K: 0.0000 0.5000 0.0000 x2  6 H 2.99-3.01
H: 0.0000 0.2592 0.0000 x4  1 K 2.99, 5 Cs 3.11-3.22
H: 0.2341 0.5000 0.5000 x4  2 K 3.01, 4 Cs 3.11-3.20

Results
Its density is 3.1 g/cm³. The calculation puts the final energy at -2.300 eV/atom.

***

(3)
The following is a DFT calculation (PBE) of an optimized crystal structure of CsKH.

Cell: 4.4340 4.4340 7.8839 Å, 90.00 90.00 120.00°
Closest atoms and distances in Å follow each position.
Space group P3m1 (No. 156)
Unique sites:
Cs: 0.0000 0.0000 0.0000 x1  3 H 3.12
K: 0.6667 0.3333 0.5605 x1  3 H 3.06
H: 0.3333 0.6667 0.7740 x1  3 K 3.06, 3 Cs 3.12

Results
Its density is 2.1 g/cm³. The calculation puts the final energy at -1.806 eV/atom.

***

(4)
The following is a DFT calculation (PBE) of an optimized crystal structure of Cs6KH.

Cell: 9.6421 9.6421 25.7556 Å, 90.00 90.00 120.00°
Closest atoms and distances in Å follow each position.
Space group R-3m (No. 166, hexagonal axes)
Unique sites:
Cs: 0.0115 0.5058 0.0938 x18  1 H 3.28
K: 0.0000 0.0000 0.0000 x3  12 Cs 5.39
H: 0.0000 0.0000 0.5000 x3  6 Cs 3.28

Results
Its density is 2.0 g/cm³. The calculation puts the final energy at -1.170 eV/atom.

***

(5)
The following is a DFT calculation (PBE) of an optimized crystal structure of Cs6K9H.

Cell: 10.8525 10.8525 21.0134 Å, 90.00 90.00 90.00°
Closest atoms and distances in Å follow each position.
Space group I4/m (No. 87)
Unique sites:
Cs: 0.0000 0.0000 0.1556 x4  1 H 3.27
Cs: 0.1042 0.2884 0.0000 x8  1 H 3.33
K: 0.0000 0.0000 0.5000 x2  4 Cs 4.87, 8 K 4.93
K: 0.0796 0.2938 0.3262 x16  7 K 4.66-4.98, 5 Cs 4.87-5.17
H: 0.0000 0.0000 0.0000 x2  6 Cs 3.27-3.33

Results
Its density is 1.5 g/cm³. The calculation puts the final energy at -1.153 eV/atom.

***

(6)
The following is a DFT calculation (PBE) of an optimized crystal structure of Cs2KH.

Cell: 4.6525 4.6525 37.7704 Å, 90.00 90.00 120.00°
Closest atoms and distances in Å follow each position.
Space group R-3m (No. 166, hexagonal axes)
Unique sites:
Cs: 0.0000 0.0000 0.1191 x6  3 H 3.23
K: 0.0000 0.0000 0.0000 x3  2 Cs 4.50, 6 K 4.65
H: 0.0000 0.0000 0.5000 x3  6 Cs 3.23

Results
Its density is 2.2 g/cm³. The calculation puts the final energy at -1.560 eV/atom.

***

(7)
The following is a DFT calculation (PBE) of an optimized crystal structure of Cs8K6H.

Cell: 13.2494 13.2494 24.6639 Å, 90.00 90.00 120.00°
Closest atoms and distances in Å follow each position.
Space group R-3 (No. 148, hexagonal axes)
Unique sites:
Cs: 0.0000 0.0000 0.2371 x6  6 K 4.85-5.04, 6 Cs 5.18-5.35
Cs: 0.0366 0.8130 0.4231 x18  1 H 3.34
K: 0.0601 0.8254 0.9235 x18  5 K 4.70-5.22, 6 Cs 4.85-5.23
H: 0.0000 0.0000 0.5000 x3  6 Cs 3.34

Results
Its density is 1.7 g/cm³. The calculation puts the final energy at -1.121 eV/atom.

***

(8)
The following is a DFT calculation (PBE) of an optimized crystal structure of CsK3H4.

Cell: 5.8776 5.8776 5.8776 Å, 90.00 90.00 90.00°
Closest atoms and distances in Å follow each position.
Space group Pm-3m (No. 221)
Unique sites:
Cs: 0.0000 0.0000 0.0000 x1  6 H 2.94
K: 0.0000 0.5000 0.5000 x3  6 H 2.94
H: 0.0000 0.0000 0.5000 x3  4 K 2.94, 2 Cs 2.94
H: 0.5000 0.5000 0.5000 x1  6 K 2.94

Results
Its density is 2.1 g/cm³. The calculation puts the final energy at -2.365 eV/atom.

***

(9)
The following is a DFT calculation (PBE) of an optimized crystal structure of CsKH.

Cell: 6.4965 6.5098 12.4890 Å, 90.00 90.04 90.00°
Closest atoms and distances in Å follow each position.
Space group C2/m (No. 12)
Unique sites:
Cs: 0.2492 0.0000 0.3778 x4  5 H 3.13-3.26
K: 0.2491 0.5000 0.1280 x4  1 H 3.05
H: 0.2489 0.5000 0.3718 x4  1 K 3.05, 5 Cs 3.13-3.26

Results
Its density is 2.2 g/cm³. The calculation puts the final energy at -1.836 eV/atom.

***

(10)
The following is a DFT calculation (PBE) of an optimized crystal structure of Cs2KH3.

Cell: 4.2890 6.1968 13.1144 Å, 90.00 90.00 90.00°
Closest atoms and distances in Å follow each position.
Space group Immm (No. 71)
Unique sites:
Cs: 0.0000 0.0000 0.1667 x4  6 H 3.06-3.24
K: 0.0000 0.0000 0.5000 x2  6 H 2.89-3.10
H: 0.0000 0.5000 0.1481 x4  2 K 2.89, 4 Cs 3.11-3.24
H: 0.0000 0.5000 0.5000 x2  4 Cs 3.06, 2 K 3.10

Results
Its density is 2.9 g/cm³. The calculation puts the final energy at -2.313 eV/atom.

***

(11)
The following is a DFT calculation (PBE) of an optimized crystal structure of Cs2KH.

Cell: 4.7073 4.7073 36.3404 Å, 90.00 90.00 120.00°
Closest atoms and distances in Å follow each position.
Space group R3m (No. 160, hexagonal axes)
Unique sites:
Cs: 0.0000 0.0000 0.0000 x3  3 H 3.26
Cs: 0.0000 0.0000 0.2348 x3  3 H 3.25
K: 0.0000 0.0000 0.4510 x3  6 K 4.71, 6 Cs 5.05-5.07
H: 0.0000 0.0000 0.6171 x3  6 Cs 3.25-3.26

Results
Its density is 2.2 g/cm³. The calculation puts the final energy at -1.580 eV/atom.

***

(12)
The following is a DFT calculation (PBE) of an optimized crystal structure of Cs2KH.

Cell: 10.0421 10.0421 10.0421 Å, 90.00 90.00 90.00°
Closest atoms and distances in Å follow each position.
Space group Fm-3m (No. 225)
Unique sites:
Cs: 0.2500 0.2500 0.2500 x8  4 H 4.35, 4 K 4.35
K: 0.0000 0.0000 0.0000 x4  8 Cs 4.35
H: 0.0000 0.0000 0.5000 x4  8 Cs 4.35

Results
Its density is 2.0 g/cm³. The calculation puts the final energy at -1.236 eV/atom.